Record 1
A relaxed structure of Sn2PtRhW, computed with GGA-PBEsol.

a = 5.108 Å, b = 5.108 Å, c = 4.580 Å
α = 90.00°, β = 90.00°, γ = 90.00°
Sites, in units of the cell vectors:
Sn 0.000 0.500 0.000
Sn 0.500 0.000 0.000
Pt 0.000 0.000 0.500
Rh 0.500 0.500 0.500
W 0.500 0.500 0.000

The calculation puts the calculated volume at 119.5 Å³/cell. The calculated total energy comes out at -6.215 eV/atom. As for the space group: P4/mmm (123). Its energy of formation is 1.27 eV/atom.

=====

Record 2
A relaxed structure of AgRuRh2, computed with GGA-PBEsol.

a = 4.675 Å, b = 4.675 Å, c = 4.734 Å
α = 99.40°, β = 99.40°, γ = 33.53°
Sites, in units of the cell vectors:
Ag 0.000 0.000 0.000
Ru 0.500 0.500 0.500
Rh 0.244 0.244 0.738
Rh 0.756 0.756 0.262

The calculation puts the calculated volume at 56.3 Å³/cell. The calculated total energy comes out at -7.159 eV/atom. As for the space group: C2/m (12). Its energy of formation is 0.28 eV/atom.

=====

Record 3
A relaxed structure of HfMg2Tc, computed with GGA-PBEsol.

a = 4.629 Å, b = 4.629 Å, c = 4.629 Å
α = 60.00°, β = 60.00°, γ = 60.00°
Sites, in units of the cell vectors:
Hf 0.000 0.000 0.000
Mg 0.250 0.250 0.250
Mg 0.750 0.750 0.750
Tc 0.500 0.500 0.500

The calculation puts the calculated volume at 70.1 Å³/cell. The calculated total energy comes out at -5.875 eV/atom. As for the space group: Fm-3m (225). Its energy of formation is 0.43 eV/atom.

=====

Record 4
A relaxed structure of YCuN2, computed with GGA-PBEsol.

a = 6.308 Å, b = 6.308 Å, c = 6.308 Å
α = 29.49°, β = 29.49°, γ = 29.49°
Sites, in units of the cell vectors:
Y 0.000 0.000 0.000
Cu 0.500 0.500 0.500
N 0.122 0.122 0.122
N 0.878 0.878 0.878

The formation energy (no corrections) is 732 meV/atom. The calculation puts the calculated volume at 53.8 Å³/cell. The calculated total energy comes out at -6.320 eV/atom. As for the space group: R-3m (166).